1.
The following is a GGA-PBE calculation of crystalline La2ZrHg at its relaxed geometry, from Alexandria.

```
data_La2ZrHg
_chemical_formula_sum 'La6 Zr3 Hg3'
_cell_length_a 3.562
_cell_length_b 3.562
_cell_length_c 31.869
_cell_angle_alpha 90.00
_cell_angle_beta 90.00
_cell_angle_gamma 120.00
_space_group_name_H-M_alt 'P 1'
_space_group_IT_number 1
_space_group_name_Hall 'P 1'
loop_
_atom_site_label
_atom_site_type_symbol
_atom_site_fract_x
_atom_site_fract_y
_atom_site_fract_z
La1 La 0.000 0.000 0.000
La2 La 0.000 0.000 0.236
La3 La 0.333 0.667 0.667
La4 La 0.333 0.667 0.903
La5 La 0.667 0.333 0.333
La6 La 0.667 0.333 0.569
Zr1 Zr 0.000 0.000 0.749
Zr2 Zr 0.333 0.667 0.416
Zr3 Zr 0.667 0.333 0.082
Hg1 Hg 0.000 0.000 0.486
Hg2 Hg 0.333 0.667 0.153
Hg3 Hg 0.667 0.333 0.820
```

Properties
Space group   R3m (160)
E_form   -0.013 eV/atom
Volume   350.1 Å³ per cell
Size of the total moment   0.00 μB per formula unit

=====

2.
The following is a GGA-PBE calculation of crystalline LaIn2SnTe4 at its relaxed geometry, from Alexandria.

```
data_LaIn2SnTe4
_chemical_formula_sum 'La1 In2 Sn1 Te4'
_cell_length_a 7.968
_cell_length_b 4.549
_cell_length_c 8.073
_cell_angle_alpha 90.00
_cell_angle_beta 109.36
_cell_angle_gamma 90.00
_space_group_name_H-M_alt 'P 1'
_space_group_IT_number 1
_space_group_name_Hall 'P 1'
loop_
_atom_site_label
_atom_site_type_symbol
_atom_site_fract_x
_atom_site_fract_y
_atom_site_fract_z
La1 La 0.000 0.000 0.000
In1 In 0.000 0.500 0.500
In2 In 0.500 0.000 0.500
Sn1 Sn 0.500 0.500 0.000
Te1 Te 0.247 0.500 0.241
Te2 Te 0.250 0.000 0.756
Te3 Te 0.750 0.000 0.244
Te4 Te 0.753 0.500 0.759
```

Properties
Space group   P2/m (10)
Formation energy from raw total energies   -0.638 eV per atom
Volume   276.1 Å³ per cell
Size of the total moment   0.00 μB per formula unit

=====

3.
The following is a GGA-PBE calculation of crystalline Pu2BeAl4Au3 at its relaxed geometry, from Alexandria.

```
data_Pu2BeAl4Au3
_chemical_formula_sum 'Pu2 Be1 Al4 Au3'
_cell_length_a 4.282
_cell_length_b 4.282
_cell_length_c 10.649
_cell_angle_alpha 90.00
_cell_angle_beta 90.00
_cell_angle_gamma 90.00
_space_group_name_H-M_alt 'P 1'
_space_group_IT_number 1
_space_group_name_Hall 'P 1'
loop_
_atom_site_label
_atom_site_type_symbol
_atom_site_fract_x
_atom_site_fract_y
_atom_site_fract_z
Pu1 Pu 0.000 0.500 0.239
Pu2 Pu 0.500 0.000 0.761
Be1 Be 0.500 0.500 0.000
Al1 Al 0.000 0.000 0.500
Al2 Al 0.000 0.500 0.873
Al3 Al 0.500 0.000 0.127
Al4 Al 0.500 0.500 0.500
Au1 Au 0.000 0.000 0.000
Au2 Au 0.000 0.500 0.637
Au3 Au 0.500 0.000 0.363
```

Properties
Space group   P-4m2 (115)
E_form   -0.377 eV/atom
Volume   195.3 Å³ per cell
Size of the total moment   11.03 μB per formula unit

=====

So what do the calculations give for DOS at the Fermi energy? Going down the list: 0.943; 0.514; 2.770 states/eV per atom.